1.
# Tm2HfBi | Alexandria via LeMat-Bulk | PBE-GGA | optimized geometry
data_Tm2HfBi
_chemical_formula_sum 'Tm6 Hf3 Bi3'
_cell_length_a 3.4715
_cell_length_b 3.4715
_cell_length_c 31.4691
_cell_angle_alpha 90.00
_cell_angle_beta 90.00
_cell_angle_gamma 120.00
_symmetry_space_group_name_H-M 'R -3 m'
_symmetry_Int_Tables_number 166
_symmetry_space_group_name_Hall '-R 3 2"'
loop_
_atom_site_label
_atom_site_type_symbol
_atom_site_fract_x
_atom_site_fract_y
_atom_site_fract_z
Tm1 Tm 0.0000 0.0000 0.2478
Hf1 Hf 0.0000 0.0000 0.5000
Bi1 Bi 0.0000 0.0000 0.0000
# ΔH_f (0 K) = -0.4 eV/f.u.
# offset from the most stable computed form = 99.5 meV/atom
# final energy = -5.805 eV/atom


2.
# TmHfBi2 | Alexandria via LeMat-Bulk | PBE-GGA | optimized geometry
data_TmHfBi2
_chemical_formula_sum 'Tm3 Hf3 Bi6'
_cell_length_a 4.2335
_cell_length_b 4.2335
_cell_length_c 22.2461
_cell_angle_alpha 90.00
_cell_angle_beta 90.00
_cell_angle_gamma 120.00
_symmetry_space_group_name_H-M 'R 3 m'
_symmetry_Int_Tables_number 160
_symmetry_space_group_name_Hall 'R 3 -2"'
loop_
_atom_site_label
_atom_site_type_symbol
_atom_site_fract_x
_atom_site_fract_y
_atom_site_fract_z
Tm1 Tm 0.0000 0.0000 0.0000
Hf1 Hf 0.0000 0.0000 0.1717
Bi1 Bi 0.0000 0.0000 0.5799
Bi2 Bi 0.0000 0.0000 0.7576
# ΔH_f (0 K) = -1.3 eV/f.u.
# offset from the most stable computed form = 0.0 meV/atom
# final energy = -5.860 eV/atom


3.
# TmHfBi2 | Alexandria via LeMat-Bulk | PBE-GGA | optimized geometry
data_TmHfBi2
_chemical_formula_sum 'Tm3 Hf3 Bi6'
_cell_length_a 3.4537
_cell_length_b 3.4537
_cell_length_c 33.5746
_cell_angle_alpha 90.00
_cell_angle_beta 90.00
_cell_angle_gamma 120.00
_symmetry_space_group_name_H-M 'R -3 m'
_symmetry_Int_Tables_number 166
_symmetry_space_group_name_Hall '-R 3 2"'
loop_
_atom_site_label
_atom_site_type_symbol
_atom_site_fract_x
_atom_site_fract_y
_atom_site_fract_z
Tm1 Tm 0.0000 0.0000 0.0000
Hf1 Hf 0.0000 0.0000 0.5000
Bi1 Bi 0.0000 0.0000 0.0949
# ΔH_f (0 K) = 0.1 eV/f.u.
# offset from the most stable computed form = 346.8 meV/atom
# final energy = -5.513 eV/atom


4.
# Hf2UBi | Alexandria via LeMat-Bulk | PBE-GGA | optimized geometry
data_Hf2UBi
_chemical_formula_sum 'Hf6 U3 Bi3'
_cell_length_a 3.3088
_cell_length_b 3.3088
_cell_length_c 30.6838
_cell_angle_alpha 90.00
_cell_angle_beta 90.00
_cell_angle_gamma 120.00
_symmetry_space_group_name_H-M 'R -3 m'
_symmetry_Int_Tables_number 166
_symmetry_space_group_name_Hall '-R 3 2"'
loop_
_atom_site_label
_atom_site_type_symbol
_atom_site_fract_x
_atom_site_fract_y
_atom_site_fract_z
Hf1 Hf 0.0000 0.0000 0.2493
U1 U 0.0000 0.0000 0.5000
Bi1 Bi 0.0000 0.0000 0.0000
# ΔH_f (0 K) = 1.0 eV/f.u.
# offset from the most stable computed form = 105.1 meV/atom
# final energy = -8.513 eV/atom


5.
# Hf2UBi | Alexandria via LeMat-Bulk | PBE-GGA | optimized geometry
data_Hf2UBi
_chemical_formula_sum 'Hf2 U1 Bi1'
_cell_length_a 4.7385
_cell_length_b 4.7385
_cell_length_c 4.1426
_cell_angle_alpha 90.00
_cell_angle_beta 90.00
_cell_angle_gamma 90.00
_symmetry_space_group_name_H-M 'P 4/m m m'
_symmetry_Int_Tables_number 123
_symmetry_space_group_name_Hall '-P 4 2'
loop_
_atom_site_label
_atom_site_type_symbol
_atom_site_fract_x
_atom_site_fract_y
_atom_site_fract_z
Hf1 Hf 0.0000 0.5000 0.0000
U1 U 0.0000 0.0000 0.5000
Bi1 Bi 0.5000 0.5000 0.5000
# ΔH_f (0 K) = 0.6 eV/f.u.
# offset from the most stable computed form = 0.0 meV/atom
# final energy = -8.618 eV/atom


6.
# Hf2UBi | Alexandria via LeMat-Bulk | PBE-GGA | optimized geometry
data_Hf2UBi
_chemical_formula_sum 'Hf2 U1 Bi1'
_cell_length_a 3.7130
_cell_length_b 3.7130
_cell_length_c 6.7872
_cell_angle_alpha 90.00
_cell_angle_beta 90.00
_cell_angle_gamma 90.00
_symmetry_space_group_name_H-M 'P 4/m m m'
_symmetry_Int_Tables_number 123
_symmetry_space_group_name_Hall '-P 4 2'
loop_
_atom_site_label
_atom_site_type_symbol
_atom_site_fract_x
_atom_site_fract_y
_atom_site_fract_z
Hf1 Hf 0.0000 0.0000 0.2392
U1 U 0.5000 0.5000 0.0000
Bi1 Bi 0.5000 0.5000 0.5000
# ΔH_f (0 K) = 0.7 eV/f.u.
# offset from the most stable computed form = 21.0 meV/atom
# final energy = -8.597 eV/atom


7.
# Hf6VBi2 | Alexandria via LeMat-Bulk | PBE-GGA | optimized geometry
data_Hf6VBi2
_chemical_formula_sum 'Hf12 V2 Bi4'
_cell_length_a 5.6711
_cell_length_b 7.5294
_cell_length_c 10.9266
_cell_angle_alpha 90.00
_cell_angle_beta 118.82
_cell_angle_gamma 90.00
_symmetry_space_group_name_H-M 'P 1 21/c 1'
_symmetry_Int_Tables_number 14
loop_
_symmetry_equiv_pos_as_xyz
'x,y,z'
'-x,-y,-z'
'-x,y+1/2,-z+1/2'
'x,-y+1/2,z+1/2'
loop_
_atom_site_label
_atom_site_type_symbol
_atom_site_fract_x
_atom_site_fract_y
_atom_site_fract_z
Hf1 Hf 0.0933 0.0564 0.2448
Hf2 Hf 0.1443 0.7229 0.0356
Hf3 Hf 0.3837 0.1600 0.0169
V1 V 0.5000 0.0000 0.5000
Bi1 Bi 0.3722 0.0905 0.7294
# ΔH_f (0 K) = 1.2 eV/f.u.
# final energy = -8.380 eV/atom


8.
# Hf2VBi2 | Alexandria via LeMat-Bulk | PBE-GGA | optimized geometry
data_Hf2VBi2
_chemical_formula_sum 'Hf4 V2 Bi4'
_cell_length_a 7.6824
_cell_length_b 7.6824
_cell_length_c 3.9503
_cell_angle_alpha 90.00
_cell_angle_beta 90.00
_cell_angle_gamma 90.00
_symmetry_space_group_name_H-M 'P 4/m b m'
_symmetry_Int_Tables_number 127
_symmetry_space_group_name_Hall '-P 4 2ab'
loop_
_atom_site_label
_atom_site_type_symbol
_atom_site_fract_x
_atom_site_fract_y
_atom_site_fract_z
Hf1 Hf 0.1449 0.3551 0.0000
V1 V 0.0000 0.0000 0.5000
Bi1 Bi 0.1555 0.6555 0.5000
# ΔH_f (0 K) = 1.3 eV/f.u.
# final energy = -7.095 eV/atom


9.
# HfV4Bi | Alexandria via LeMat-Bulk | PBE-GGA | optimized geometry
data_HfV4Bi
_chemical_formula_sum 'Hf4 V16 Bi4'
_cell_length_a 7.3912
_cell_length_b 7.3912
_cell_length_c 7.3912
_cell_angle_alpha 90.00
_cell_angle_beta 90.00
_cell_angle_gamma 90.00
_symmetry_space_group_name_H-M 'F -4 3 m'
_symmetry_Int_Tables_number 216
_symmetry_space_group_name_Hall 'F -4 2 3'
loop_
_atom_site_label
_atom_site_type_symbol
_atom_site_fract_x
_atom_site_fract_y
_atom_site_fract_z
Hf1 Hf 0.0000 0.0000 0.0000
V1 V 0.1282 0.1282 0.6282
Bi1 Bi 0.2500 0.2500 0.2500
# ΔH_f (0 K) = 1.0 eV/f.u.
# final energy = -8.220 eV/atom


10.
# Hf8VBi2 | Alexandria via LeMat-Bulk | PBE-GGA | optimized geometry
data_Hf8VBi2
_chemical_formula_sum 'Hf16 V2 Bi4'
_cell_length_a 5.0816
_cell_length_b 6.7643
_cell_length_c 14.2182
_cell_angle_alpha 90.00
_cell_angle_beta 90.00
_cell_angle_gamma 90.00
_symmetry_space_group_name_H-M 'I m m m'
_symmetry_Int_Tables_number 71
_symmetry_space_group_name_Hall '-I 2 2'
loop_
_atom_site_label
_atom_site_type_symbol
_atom_site_fract_x
_atom_site_fract_y
_atom_site_fract_z
Hf1 Hf 0.0000 0.0000 0.1699
Hf2 Hf 0.0000 0.2333 0.3689
Hf3 Hf 0.0000 0.2563 0.0000
V1 V 0.0000 0.5000 0.5000
Bi1 Bi 0.0000 0.5000 0.1885
# ΔH_f (0 K) = 0.6 eV/f.u.
# final energy = -8.715 eV/atom


11.
# Hf2BiW2 | Alexandria via LeMat-Bulk | PBE-GGA | optimized geometry
data_Hf2BiW2
_chemical_formula_sum 'Hf4 Bi2 W4'
_cell_length_a 3.7066
_cell_length_b 3.7066
_cell_length_c 16.3378
_cell_angle_alpha 90.00
_cell_angle_beta 90.00
_cell_angle_gamma 90.00
_symmetry_space_group_name_H-M 'I 4/m m m'
_symmetry_Int_Tables_number 139
_symmetry_space_group_name_Hall '-I 4 2'
loop_
_atom_site_label
_atom_site_type_symbol
_atom_site_fract_x
_atom_site_fract_y
_atom_site_fract_z
Hf1 Hf 0.0000 0.0000 0.1127
Bi1 Bi 0.0000 0.0000 0.5000
W1 W 0.0000 0.5000 0.2500
# ΔH_f (0 K) = 2.2 eV/f.u.
# offset from the most stable computed form = 0.0 meV/atom
# final energy = -9.507 eV/atom


12.
# HfBiW3 | Alexandria via LeMat-Bulk | PBE-GGA | optimized geometry
data_HfBiW3
_chemical_formula_sum 'Hf1 Bi1 W3'
_cell_length_a 4.9043
_cell_length_b 4.9043
_cell_length_c 4.9043
_cell_angle_alpha 90.00
_cell_angle_beta 90.00
_cell_angle_gamma 90.00
_symmetry_space_group_name_H-M 'P m -3 m'
_symmetry_Int_Tables_number 221
_symmetry_space_group_name_Hall '-P 4 2 3'
loop_
_atom_site_label
_atom_site_type_symbol
_atom_site_fract_x
_atom_site_fract_y
_atom_site_fract_z
Hf1 Hf 0.0000 0.0000 0.0000
Bi1 Bi 0.5000 0.5000 0.5000
W1 W 0.0000 0.0000 0.5000
# ΔH_f (0 K) = 11.6 eV/f.u.
# offset from the most stable computed form = 0.0 meV/atom
# final energy = -8.216 eV/atom


13.
# Hf2BiW2 | Alexandria via LeMat-Bulk | PBE-GGA | optimized geometry
data_Hf2BiW2
_chemical_formula_sum 'Hf4 Bi2 W4'
_cell_length_a 8.1138
_cell_length_b 8.1138
_cell_length_c 3.2869
_cell_angle_alpha 90.00
_cell_angle_beta 90.00
_cell_angle_gamma 90.00
_symmetry_space_group_name_H-M 'P 4/m b m'
_symmetry_Int_Tables_number 127
_symmetry_space_group_name_Hall '-P 4 2ab'
loop_
_atom_site_label
_atom_site_type_symbol
_atom_site_fract_x
_atom_site_fract_y
_atom_site_fract_z
Hf1 Hf 0.1400 0.3600 0.0000
Bi1 Bi 0.0000 0.0000 0.0000
W1 W 0.1408 0.6408 0.5000
# ΔH_f (0 K) = 3.8 eV/f.u.
# offset from the most stable computed form = 328.3 meV/atom
# final energy = -9.179 eV/atom